A relaxed structure of Zr2TcHg, computed with PBE.

Values from the calculation:
calculated formation energy	-0.107	eV/atom
calculated total energy	-28.2	eV for the cell shown

a b c (Å): 8.998 8.998 8.998
angles (deg): 21.22 21.22 21.22
Sites, in units of the cell vectors:
Tc (0.750, 0.750, 0.750)
Hg (0.250, 0.250, 0.250)
Zr (0.490, 0.490, 0.490)
Zr (0.010, 0.010, 0.010)



A relaxed structure of Zr3Tc2Hg, computed with PBE.

Values from the calculation:
calculated formation energy	-0.345	eV/atom
calculated total energy	-48.7	eV for the cell shown

a b c (Å): 3.336 3.336 10.448
angles (deg): 90.00 90.00 90.00
Sites, in units of the cell vectors:
Tc (0.500, 0.500, 0.839)
Tc (0.500, 0.500, 0.161)
Zr (0.000, 0.000, 0.306)
Zr (0.000, 0.000, 0.694)
Zr (0.000, 0.000, 0.000)
Hg (0.500, 0.500, 0.500)